No. 1
The following is a PBE calculation of a relaxed structure of ScZnSi2, from the Alexandria database.

Properties
E_tot = -4.550 eV/atom
DOS(E_F) = 11.60 states/eV/cell

Lattice parameters (Å, degrees): 3.0946 3.0946 24.9028 90.00 90.00 120.00
Space group R-3m (No. 166, hexagonal axes)
Symmetry-distinct sites (fractional):
Sc: 0.0000 0.0000 0.0000 [3 per cell]
Zn: 0.0000 0.0000 0.5000 [3 per cell]
Si: 0.0000 0.0000 0.2457 [6 per cell]

=====

No. 2
The following is a PBE calculation of a relaxed structure of ScBe2Fe, from the Alexandria database.

Properties
calculated formation energy = -0.033 eV per atom
DOS(E_F) = 4.95 states/eV/cell

Lattice parameters (Å, degrees): 7.4149 3.2130 4.5154 90.00 110.09 90.00
Space group C2/m (No. 12)
Symmetry-distinct sites (fractional):
Sc: 0.0000 0.0000 0.0000 [2 per cell]
Be: 0.2189 0.0000 0.6179 [4 per cell]
Fe: 0.0000 0.5000 0.5000 [2 per cell]

=====

No. 3
The following is a PBE calculation of a relaxed structure of CeHoCdNi, from the Alexandria database.

Properties
calculated formation energy = -0.148 eV per atom
DOS(E_F) = 30.34 states/eV/cell

Lattice parameters (Å, degrees): 7.2120 7.2120 7.2120 90.00 90.00 90.00
Space group F-43m (No. 216)
Symmetry-distinct sites (fractional):
Ce: 0.0000 0.0000 0.0000 [4 per cell]
Ho: 0.0000 0.0000 0.5000 [4 per cell]
Cd: 0.2500 0.2500 0.7500 [4 per cell]
Ni: 0.2500 0.2500 0.2500 [4 per cell]

=====

No. 4
The following is a PBE calculation of a relaxed structure of LiTaFe3, from the Alexandria database.

Properties
calculated formation energy = 1.312 eV per atom
DOS(E_F) = 5.43 states/eV/cell

Lattice parameters (Å, degrees): 4.5860 4.5860 4.5860 90.00 90.00 90.00
Space group Pm-3m (No. 221)
Symmetry-distinct sites (fractional):
Li: 0.0000 0.0000 0.0000 [1 per cell]
Ta: 0.5000 0.5000 0.5000 [1 per cell]
Fe: 0.0000 0.5000 0.5000 [3 per cell]

=====

No. 5
The following is a PBE calculation of a relaxed structure of NaH4N2, from the Alexandria database.

Properties
E_tot = -4.566 eV/atom
DOS(E_F) = 1.83 states/eV/cell

Lattice parameters (Å, degrees): 7.2925 7.2925 3.0155 90.00 90.00 90.00
Space group P4_2/mnm (No. 136)
Symmetry-distinct sites (fractional):
Na: 0.0000 0.0000 0.0000 [2 per cell]
H: 0.1639 0.3211 0.5000 [8 per cell]
N: 0.1811 0.1811 0.5000 [4 per cell]

=====

No. 6
The following is a PBE calculation of a relaxed structure of Zr3Ni9Ge2, from the Alexandria database.

Properties
calculated formation energy = -0.363 eV per atom
DOS(E_F) = 25.06 states/eV/cell

Lattice parameters (Å, degrees): 3.8869 8.7822 11.4476 90.00 90.00 90.00
Space group Immm (No. 71)
Symmetry-distinct sites (fractional):
Zr: 0.0000 0.0000 0.0000 [2 per cell]
Zr: 0.0000 0.0000 0.3017 [4 per cell]
Ni: 0.0000 0.2815 0.1248 [8 per cell]
Ni: 0.0000 0.3657 0.3280 [8 per cell]
Ni: 0.0000 0.5000 0.0000 [2 per cell]
Ge: 0.0000 0.2124 0.5000 [4 per cell]

=====

No. 7
The following is a PBE calculation of a relaxed structure of Mg13Sn2, from the Alexandria database.

Properties
calculated formation energy = 0.154 eV per atom
DOS(E_F) = 9.13 states/eV/cell

Lattice parameters (Å, degrees): 8.2163 8.2163 23.0239 90.00 90.00 120.00
Space group R-3m (No. 166, hexagonal axes)
Symmetry-distinct sites (fractional):
Mg: 0.0000 0.0000 0.0000 [3 per cell]
Mg: 0.0780 0.5390 0.5606 [18 per cell]
Mg: 0.0903 0.5452 0.3136 [18 per cell]
Sn: 0.0000 0.0000 0.2156 [6 per cell]

=====

No. 8
The following is a PBE calculation of a relaxed structure of CaLa2Pr2Er2, from the Alexandria database.

Properties
calculated formation energy = 0.059 eV per atom
DOS(E_F) = 22.77 states/eV/cell

Lattice parameters (Å, degrees): 11.6175 5.2254 8.2454 90.00 98.51 90.00
Space group C2/m (No. 12)
Symmetry-distinct sites (fractional):
Ca: 0.0000 0.0000 0.0000 [2 per cell]
La: 0.1438 0.0000 0.4317 [4 per cell]
Pr: 0.2164 0.5000 0.1464 [4 per cell]
Er: 0.0750 0.5000 0.7059 [4 per cell]

=====

No. 9
The following is a PBE calculation of a relaxed structure of Ag2SnAu3, from the Alexandria database.

Properties
calculated formation energy = -0.049 eV per atom
DOS(E_F) = 5.07 states/eV/cell

Lattice parameters (Å, degrees): 4.3153 13.0330 4.0480 90.00 90.00 90.00
Space group Cmmm (No. 65)
Symmetry-distinct sites (fractional):
Ag: 0.0000 0.1694 0.0000 [4 per cell]
Sn: 0.0000 0.5000 0.0000 [2 per cell]
Au: 0.0000 0.0000 0.5000 [2 per cell]
Au: 0.0000 0.3297 0.5000 [4 per cell]

=====

No. 10
The following is a PBE calculation of a relaxed structure of Ho2HCl3, from the Alexandria database.

Properties
E_tot = -4.637 eV/atom
DOS(E_F) = 7.72 states/eV/cell

Lattice parameters (Å, degrees): 16.6696 3.7117 10.6274 90.00 121.00 90.00
Space group C2/m (No. 12)
Symmetry-distinct sites (fractional):
Ho: 0.0800 0.0000 0.4602 [4 per cell]
Ho: 0.1410 0.5000 0.8009 [4 per cell]
H: 0.0787 0.0000 0.6676 [4 per cell]
Cl: 0.0377 0.5000 0.2476 [4 per cell]
Cl: 0.1653 0.0000 0.0098 [4 per cell]
Cl: 0.2136 0.5000 0.6171 [4 per cell]

=====

No. 11
The following is a PBE calculation of a relaxed structure of Dy2Ni15Ru2, from the Alexandria database.

Properties
calculated formation energy = -0.166 eV per atom
DOS(E_F) = 81.29 states/eV/cell

Lattice parameters (Å, degrees): 8.3146 8.3146 12.2860 90.00 90.00 120.00
Space group R-3m (No. 166, hexagonal axes)
Symmetry-distinct sites (fractional):
Dy: 0.0000 0.0000 0.1562 [6 per cell]
Ni: 0.0000 0.3007 0.5000 [18 per cell]
Ni: 0.0000 0.5000 0.0000 [9 per cell]
Ni: 0.0006 0.5003 0.6565 [18 per cell]
Ru: 0.0000 0.0000 0.4034 [6 per cell]

=====

No. 12
The following is a PBE calculation of a relaxed structure of La3CeTh2Sb6, from the Alexandria database.

Properties
E_tot = -6.160 eV/atom
DOS(E_F) = 20.53 states/eV/cell

Lattice parameters (Å, degrees): 7.8991 13.6897 7.9176 90.00 109.44 90.00
Space group C2/m (No. 12)
Symmetry-distinct sites (fractional):
La: 0.0000 0.0000 0.0000 [2 per cell]
La: 0.0000 0.3336 0.0000 [4 per cell]
Ce: 0.0000 0.5000 0.5000 [2 per cell]
Th: 0.0000 0.1666 0.5000 [4 per cell]
Sb: 0.2475 0.0000 0.7431 [4 per cell]
Sb: 0.2478 0.3332 0.7432 [8 per cell]